ErSnAu4: optimized geometry, PBE.

Unit cell a=4.804 b=4.804 c=6.301 alpha=90.00 beta=90.00 gamma=120.00
Positions (direct):
Er (0.000, 0.000, 0.000)
Sn (0.000, 0.000, 0.500)
Au (0.333, 0.667, 0.244)
Au (0.333, 0.667, 0.756)
Au (0.667, 0.333, 0.244)
Au (0.667, 0.333, 0.756)

Properties
Symmetry: P6/mmm
Energy relative to the elements in eV/atom: -0.456
Calculated volume in Å³/f.u.: 125.9
Total DFT energy (no corrections) in eV per atom: -4.069
Energy above the lowest structure with this stoichiometry in eV per formula unit: 0.000
D(E_F) in states/eV/f.u.: 2.3